(1)
An optimized crystal structure of TaCoSe3, computed with PBE.

Computed properties:
Its crystal system is orthorhombic.

Lattice parameters (Å, degrees): 3.4907 23.2671 6.0357 90.00 90.00 90.00
Space group Ama2 (No. 40)
Asymmetric unit:
Ta: 0.2500 0.1697 0.0000 (multiplicity 4)
Co: 0.2500 0.3649 0.8281 (multiplicity 4)
Se: 0.2500 0.0764 0.2087 (multiplicity 4)
Se: 0.2500 0.2684 0.7065 (multiplicity 4)
Se: 0.2500 0.3662 0.2136 (multiplicity 4)


(2)
An optimized crystal structure of TaCoSe3, computed with PBE.

Computed properties:
Its crystal system is monoclinic.

Lattice parameters (Å, degrees): 7.1839 3.5638 8.8607 90.00 108.61 90.00
Space group P2_1/m (No. 11)
Asymmetric unit:
Ta: 0.2304 0.2500 0.4789 (multiplicity 2)
Co: 0.3752 0.2500 0.8107 (multiplicity 2)
Se: 0.0323 0.2500 0.6796 (multiplicity 2)
Se: 0.3322 0.7500 0.9628 (multiplicity 2)
Se: 0.4017 0.7500 0.3413 (multiplicity 2)


Going by the energies, (1) is most stable and the next is 19.6 kJ/mol of atoms up.


(1)
An optimized crystal structure of CoTcSe, computed with PBE.

Computed properties:
Its crystal system is trigonal.

Lattice parameters (Å, degrees): 3.9674 3.9674 3.0084 90.00 90.00 120.00
Space group P3m1 (No. 156)
Asymmetric unit:
Co: 0.0000 0.0000 0.0000 (multiplicity 1)
Tc: 0.6667 0.3333 0.4999 (multiplicity 1)
Se: 0.3333 0.6667 0.9977 (multiplicity 1)


(2)
An optimized crystal structure of CoTcSe, computed with PBE.

Computed properties:
Its crystal system is hexagonal.

Lattice parameters (Å, degrees): 3.0442 3.0442 11.0103 90.00 90.00 120.00
Space group P-6m2 (No. 187)
Asymmetric unit:
Co: 0.0000 0.0000 0.0000 (multiplicity 1)
Co: 0.3333 0.6667 0.5000 (multiplicity 1)
Tc: 0.0000 0.0000 0.3265 (multiplicity 2)
Se: 0.3333 0.6667 0.1652 (multiplicity 2)


Going by the energies, (2) is most stable and the next is 1.1 kJ/mol of atoms up.


(1)
An optimized crystal structure of CoTcSe, computed with PBE.

Computed properties:
Its crystal system is cubic.

Lattice parameters (Å, degrees): 5.6255 5.6255 5.6255 90.00 90.00 90.00
Space group F-43m (No. 216)
Asymmetric unit:
Co: 0.0000 0.0000 0.0000 (multiplicity 4)
Tc: 0.0000 0.0000 0.5000 (multiplicity 4)
Se: 0.2500 0.2500 0.7500 (multiplicity 4)


(2)
An optimized crystal structure of CoTcSe, computed with PBE.

Computed properties:
Its crystal system is orthorhombic.

Lattice parameters (Å, degrees): 2.8868 4.7181 12.9559 90.00 90.00 90.00
Space group Fmm2 (No. 42)
Asymmetric unit:
Co: 0.0000 0.0000 0.0000 (multiplicity 4)
Tc: 0.0000 0.0000 0.3482 (multiplicity 4)
Se: 0.0000 0.0000 0.6634 (multiplicity 4)


(3)
An optimized crystal structure of CoTcSe, computed with PBE.

Computed properties:
Its crystal system is tetragonal.

Lattice parameters (Å, degrees): 3.0204 3.0204 9.1806 90.00 90.00 90.00
Space group I4mm (No. 107)
Asymmetric unit:
Co: 0.0000 0.0000 0.0000 (multiplicity 2)
Tc: 0.0000 0.0000 0.6782 (multiplicity 2)
Se: 0.0000 0.0000 0.3358 (multiplicity 2)


Going by the energies, (3) is most stable and the next is 4.0 kJ/mol of atoms up.


(1)
An optimized crystal structure of CoTcSe4, computed with PBE.

Computed properties:
Its crystal system is monoclinic.

Lattice parameters (Å, degrees): 13.0350 3.4021 5.8529 90.00 101.67 90.00
Space group Cm (No. 8)
Asymmetric unit:
Co: 0.0000 0.0000 0.0000 (multiplicity 2)
Tc: 0.0016 0.5000 0.4057 (multiplicity 2)
Se: 0.0978 0.5000 0.8463 (multiplicity 2)
Se: 0.1326 0.0000 0.3450 (multiplicity 2)
Se: 0.3731 0.0000 0.0509 (multiplicity 2)
Se: 0.4024 0.5000 0.5965 (multiplicity 2)


(2)
An optimized crystal structure of CoTcSe4, computed with PBE.

Computed properties:
Its crystal system is cubic.

Lattice parameters (Å, degrees): 7.9134 7.9134 7.9134 90.00 90.00 90.00
Space group F-43m (No. 216)
Asymmetric unit:
Co: 0.0000 0.0000 0.0000 (multiplicity 4)
Tc: 0.2500 0.2500 0.7500 (multiplicity 4)
Se: 0.1255 0.1255 0.3745 (multiplicity 16)


(3)
An optimized crystal structure of CoTcSe4, computed with PBE.

Computed properties:
Its crystal system is monoclinic.

Lattice parameters (Å, degrees): 7.8600 13.7712 5.4132 90.00 131.00 90.00
Space group C2/c (No. 15)
Asymmetric unit:
Co: 0.0000 0.1886 0.2500 (multiplicity 4)
Tc: 0.0000 0.4484 0.7500 (multiplicity 4)
Se: 0.1810 0.3002 0.7011 (multiplicity 8)
Se: 0.2086 0.0601 0.6424 (multiplicity 8)


Going by the energies, (1) is most stable and the next is 6.8 kJ/mol of atoms up.


(1)
An optimized crystal structure of Co3TcSe, computed with PBE.

Computed properties:
Its crystal system is cubic.

Lattice parameters (Å, degrees): 4.2944 4.2944 4.2944 90.00 90.00 90.00
Space group Pm-3m (No. 221)
Asymmetric unit:
Co: 0.0000 0.0000 0.5000 (multiplicity 3)
Tc: 0.5000 0.5000 0.5000 (multiplicity 1)
Se: 0.0000 0.0000 0.0000 (multiplicity 1)


(2)
An optimized crystal structure of Co3TcSe, computed with PBE.

Computed properties:
Its crystal system is cubic.

Lattice parameters (Å, degrees): 4.4269 4.4269 4.4269 90.00 90.00 90.00
Space group Pm-3m (No. 221)
Asymmetric unit:
Co: 0.0000 0.0000 0.5000 (multiplicity 3)
Tc: 0.0000 0.0000 0.0000 (multiplicity 1)
Se: 0.5000 0.5000 0.5000 (multiplicity 1)


Going by the energies, (1) is most stable and the next is 47.5 kJ/mol of atoms up.


(1)
An optimized crystal structure of CoTe4Se, computed with PBE.

Computed properties:
Its crystal system is monoclinic.

Lattice parameters (Å, degrees): 7.5903 6.3863 6.5660 90.00 99.77 90.00
Space group P2_1/c (No. 14)
Asymmetric unit:
Co: 0.0000 0.0000 0.0000 (multiplicity 2)
Te: 0.0840 0.1415 0.6612 (multiplicity 4)
Te: 0.3368 0.6103 0.5912 (multiplicity 4)
Se: 0.5000 0.0000 0.5000 (multiplicity 2)


(2)
An optimized crystal structure of CoTe4Se, computed with PBE.

Computed properties:
Its crystal system is cubic.

Lattice parameters (Å, degrees): 8.8057 8.8057 8.8057 90.00 90.00 90.00
Space group F-43m (No. 216)
Asymmetric unit:
Co: 0.0000 0.0000 0.0000 (multiplicity 4)
Te: 0.1243 0.1243 0.3757 (multiplicity 16)
Se: 0.2500 0.2500 0.7500 (multiplicity 4)


Going by the energies, (1) is most stable and the next is 90.1 kJ/mol of atoms up.


(1)
An optimized crystal structure of Ti2CoSe4, computed with PBE.

Computed properties:
Its crystal system is monoclinic.

Lattice parameters (Å, degrees): 13.2121 3.5829 6.1354 90.00 117.39 90.00
Space group C2/m (No. 12)
Asymmetric unit:
Ti: 0.2490 0.0000 0.2362 (multiplicity 4)
Co: 0.0000 0.5000 0.5000 (multiplicity 2)
Se: 0.1142 0.5000 0.9508 (multiplicity 4)
Se: 0.1191 0.0000 0.4531 (multiplicity 4)


(2)
An optimized crystal structure of Ti2CoSe4, computed with PBE.

Computed properties:
Its crystal system is cubic.

Lattice parameters (Å, degrees): 10.5123 10.5123 10.5123 90.00 90.00 90.00
Space group Fd-3m (No. 227, origin choice 2)
Asymmetric unit:
Ti: 0.0000 0.0000 0.0000 (multiplicity 16)
Co: 0.1250 0.1250 0.6250 (multiplicity 8)
Se: 0.0030 0.0030 0.2470 (multiplicity 32)


Going by the energies, (1) is most stable and the next is 7.7 kJ/mol of atoms up.


(1)
An optimized crystal structure of Ti2Co2Se, computed with PBE.

Computed properties:
Its crystal system is tetragonal.

Lattice parameters (Å, degrees): 6.9749 6.9749 3.0118 90.00 90.00 90.00
Space group P4/mbm (No. 127)
Asymmetric unit:
Ti: 0.1597 0.3403 0.0000 (multiplicity 4)
Co: 0.1283 0.6283 0.5000 (multiplicity 4)
Se: 0.0000 0.0000 0.0000 (multiplicity 2)


(2)
An optimized crystal structure of Ti2Co2Se, computed with PBE.

Computed properties:
Its crystal system is tetragonal.

Lattice parameters (Å, degrees): 3.3554 3.3554 13.5953 90.00 90.00 90.00
Space group I4/mmm (No. 139)
Asymmetric unit:
Ti: 0.0000 0.0000 0.1212 (multiplicity 4)
Co: 0.0000 0.5000 0.2500 (multiplicity 4)
Se: 0.0000 0.0000 0.5000 (multiplicity 2)


Going by the energies, (2) is most stable and the next is 12.2 kJ/mol of atoms up.


(1)
An optimized crystal structure of TlCo2Se, computed with PBE.

Computed properties:
Its crystal system is tetragonal.

Lattice parameters (Å, degrees): 3.6969 3.6969 9.7026 90.00 90.00 90.00
Space group I-4m2 (No. 119)
Asymmetric unit:
Tl: 0.0000 0.0000 0.0000 (multiplicity 2)
Co: 0.0000 0.0000 0.5000 (multiplicity 2)
Co: 0.0000 0.5000 0.2500 (multiplicity 2)
Se: 0.0000 0.5000 0.7500 (multiplicity 2)


(2)
An optimized crystal structure of TlCo2Se, computed with PBE.

Computed properties:
Its crystal system is tetragonal.

Lattice parameters (Å, degrees): 3.0645 3.0645 6.6454 90.00 90.00 90.00
Space group P4/mmm (No. 123)
Asymmetric unit:
Tl: 0.0000 0.0000 0.0000 (multiplicity 1)
Co: 0.5000 0.5000 0.3001 (multiplicity 2)
Se: 0.0000 0.0000 0.5000 (multiplicity 1)


Going by the energies, (2) is most stable and the next is 17.9 kJ/mol of atoms up.


(1)
An optimized crystal structure of Tl3CoSe, computed with PBE.

Computed properties:
Its crystal system is cubic.

Lattice parameters (Å, degrees): 5.0762 5.0762 5.0762 90.00 90.00 90.00
Space group Pm-3m (No. 221)
Asymmetric unit:
Tl: 0.0000 0.0000 0.5000 (multiplicity 3)
Co: 0.0000 0.0000 0.0000 (multiplicity 1)
Se: 0.5000 0.5000 0.5000 (multiplicity 1)


(2)
An optimized crystal structure of Tl3CoSe, computed with PBE.

Computed properties:
Its crystal system is cubic.

Lattice parameters (Å, degrees): 5.8898 5.8898 5.8898 90.00 90.00 90.00
Space group Pm-3m (No. 221)
Asymmetric unit:
Tl: 0.0000 0.0000 0.5000 (multiplicity 3)
Co: 0.5000 0.5000 0.5000 (multiplicity 1)
Se: 0.0000 0.0000 0.0000 (multiplicity 1)


Going by the energies, (1) is most stable and the next is 67.9 kJ/mol of atoms up.


(1)
An optimized crystal structure of TlCoSe3, computed with PBE.

Computed properties:
Its crystal system is cubic.

Lattice parameters (Å, degrees): 4.8558 4.8558 4.8558 90.00 90.00 90.00
Space group Pm-3m (No. 221)
Asymmetric unit:
Tl: 0.0000 0.0000 0.0000 (multiplicity 1)
Co: 0.5000 0.5000 0.5000 (multiplicity 1)
Se: 0.0000 0.5000 0.5000 (multiplicity 3)


(2)
An optimized crystal structure of TlCoSe3, computed with PBE.

Computed properties:
Its crystal system is orthorhombic.

Lattice parameters (Å, degrees): 6.8247 9.6204 6.4574 90.00 90.00 90.00
Space group Pnma (No. 62)
Asymmetric unit:
Tl: 0.0430 0.2500 0.0246 (multiplicity 4)
Co: 0.0000 0.0000 0.5000 (multiplicity 4)
Se: 0.0468 0.7500 0.3934 (multiplicity 4)
Se: 0.2232 0.5583 0.7873 (multiplicity 8)


Going by the energies, (2) is most stable and the next is 16.6 kJ/mol of atoms up.